Entry 1:
Density functional theory data (PBE) for a geometry-optimized Ce3As4Ir2 structure.

Cell and atoms, written as POSCAR:
```
Ce3As4Ir2
1.0
5.840 -2.126 0.000
5.840 2.126 0.000
-3.926 0.000 7.745
Ce As Ir
3 4 2
Direct
0.000 0.000 0.000 Ce
0.364 0.364 0.290 Ce
0.636 0.636 0.710 Ce
0.080 0.080 0.386 As
0.310 0.310 0.907 As
0.690 0.690 0.093 As
0.920 0.920 0.614 As
0.314 0.314 0.621 Ir
0.686 0.686 0.379 Ir
```

Calculated values
E_form ... -0.973 eV/atom
Raw total energy ... -6.99 eV per atom
Total magnetic moment ... 0.08 μB per atom

Entry 2:
Density functional theory data (PBE) for a geometry-optimized LuTlNiRh structure.

Cell and atoms, written as POSCAR:
```
LuTlNiRh
1.0
0.000 3.288 3.288
3.288 0.000 3.288
3.288 3.288 0.000
Lu Tl Ni Rh
1 1 1 1
Direct
0.000 0.000 0.000 Lu
0.500 0.500 0.500 Tl
0.750 0.750 0.750 Ni
0.250 0.250 0.250 Rh
```

Calculated values
E_form ... -0.374 eV/atom
Raw total energy ... -5.38 eV per atom
Total magnetic moment ... 0.00 μB per atom

Entry 3:
Density functional theory data (PBE) for a geometry-optimized BeAsP2 structure.

Cell and atoms, written as POSCAR:
```
BeAsP2
1.0
2.593 0.000 0.000
0.000 3.112 0.000
0.000 0.000 8.118
Be As P
1 1 2
Direct
0.000 0.000 0.000 Be
0.000 0.000 0.500 As
0.500 0.500 0.147 P
0.500 0.500 0.853 P
```

Calculated values
E_form ... 0.434 eV/atom
Raw total energy ... -4.36 eV per atom
Total magnetic moment ... 0.00 μB per atom

Entry 4:
Density functional theory data (PBE) for a geometry-optimized Mg2SbI structure.

Cell and atoms, written as POSCAR:
```
Mg2SbI
1.0
2.263 1.307 7.948
-2.263 1.307 7.948
0.000 -2.613 7.948
Mg Sb I
2 1 1
Direct
0.115 0.115 0.115 Mg
0.885 0.885 0.885 Mg
0.500 0.500 0.500 Sb
0.000 0.000 0.000 I
```

Calculated values
Raw total energy ... -2.75 eV per atom
Total magnetic moment ... 0.00 μB per atom